The following is a DFT calculation (GGA+U) of a relaxed Mg2NiRhO6 crystal.

abc: 5.524 5.524 4.235
angles: 90.00 90.00 90.00
Space group P4mm (No. 99)
Unique sites:
Mg (0.000, 0.500, 0.000) [2 per cell]
Ni (0.000, 0.000, 0.749) [1 per cell]
Rh (0.500, 0.500, 0.746) [1 per cell]
O (0.000, 0.000, 0.303) [1 per cell]
O (0.254, 0.254, 0.858) [4 per cell]
O (0.500, 0.500, 0.325) [1 per cell]

Its total energy is -54.02 eV per cell. The calculation puts the density of states at the Fermi level at 0.30 states/eV per atom.